Record 1
Entry from Alexandria: crystalline NaSb2Pb at its relaxed geometry (PBE).

Unit cell a=3.919 b=3.919 c=9.547 alpha=78.15 beta=78.15 gamma=60.00
Positions (direct):
Sb 0.253 0.253 0.241
Sb 0.747 0.747 0.759
Pb 0.000 0.000 0.000
Na 0.500 0.500 0.500

Results
DOS at the Fermi energy: 2.811 states/eV per cell

=====

Record 2
Entry from Alexandria: crystalline Na4Sb2Pb at its relaxed geometry (PBE).

Unit cell a=5.312 b=5.312 c=10.490 alpha=75.33 beta=75.33 gamma=60.00
Positions (direct):
Na 0.794 0.794 0.618
Sb 0.902 0.902 0.294
Na 0.603 0.603 0.192
Sb 0.098 0.098 0.706
Na 0.206 0.206 0.382
Na 0.397 0.397 0.808
Pb 0.000 0.000 0.000

Results
DOS at the Fermi energy: 2.872 states/eV per cell

=====

Record 3
Entry from Alexandria: crystalline Na2SbPb at its relaxed geometry (PBE).

Unit cell a=3.834 b=3.834 c=7.502 alpha=90.00 beta=90.00 gamma=90.00
Positions (direct):
Sb 0.500 0.500 0.500
Na 0.000 0.000 0.738
Pb 0.500 0.500 0.000
Na 0.000 0.000 0.262

Results
DOS at the Fermi energy: 1.951 states/eV per cell

=====

Record 4
Entry from Alexandria: crystalline NaSbPb2 at its relaxed geometry (PBE).

Unit cell a=5.065 b=4.803 c=4.803 alpha=90.00 beta=90.00 gamma=90.00
Positions (direct):
Pb 0.000 0.500 0.000
Pb 0.000 0.000 0.500
Na 0.500 0.000 0.000
Sb 0.500 0.500 0.500

Results
DOS at the Fermi energy: 2.019 states/eV per cell

=====

Record 5
Entry from Alexandria: crystalline Na2SbPb at its relaxed geometry (PBE).

Unit cell a=8.264 b=10.860 c=8.338 alpha=134.93 beta=90.00 gamma=90.00
Positions (direct):
Na 0.097 0.296 0.275
Sb 0.339 0.119 0.358
Na 0.332 0.873 0.837
Na 0.168 0.373 0.837
Na 0.597 0.204 0.725
Na 0.832 0.627 0.163
Pb 0.516 0.507 0.317
Pb 0.984 0.007 0.317
Pb 0.484 0.493 0.683
Na 0.668 0.127 0.163
Pb 0.016 0.993 0.683
Sb 0.839 0.381 0.642
Na 0.403 0.796 0.275
Na 0.903 0.704 0.725
Sb 0.161 0.619 0.358
Sb 0.661 0.881 0.642

Results
DOS at the Fermi energy: 0.769 states/eV per cell

=====

Record 6
Entry from Alexandria: crystalline NaSb4Pb at its relaxed geometry (PBE).

Unit cell a=6.392 b=6.392 c=6.392 alpha=60.00 beta=60.00 gamma=60.00
Positions (direct):
Sb 0.626 0.626 0.626
Sb 0.121 0.626 0.626
Na 0.250 0.250 0.250
Sb 0.626 0.121 0.626
Sb 0.626 0.626 0.121
Pb 0.000 0.000 0.000

Results
DOS at the Fermi energy: 3.140 states/eV per cell

=====

Record 7
Entry from Alexandria: crystalline Na3SbPb at its relaxed geometry (PBE).

Unit cell a=5.753 b=5.753 c=5.753 alpha=90.00 beta=90.00 gamma=90.00
Positions (direct):
Na 0.500 0.000 0.000
Sb 0.500 0.500 0.500
Na 0.000 0.500 0.000
Na 0.000 0.000 0.500
Pb 0.000 0.000 0.000

Results
DOS at the Fermi energy: 5.053 states/eV per cell

=====

Record 8
Entry from Alexandria: crystalline NaSbPb2 at its relaxed geometry (PBE).

Unit cell a=4.199 b=4.199 c=6.836 alpha=90.00 beta=90.00 gamma=90.00
Positions (direct):
Pb 0.000 0.000 0.230
Sb 0.500 0.500 0.000
Pb 0.000 0.000 0.770
Na 0.500 0.500 0.500

Results
DOS at the Fermi energy: 2.605 states/eV per cell

=====

ΔE_f (raw) (computed, eV per atom): 0.03 -0.19 -0.18 -0.13 -0.26 0.10 0.36 -0.06
Volume (computed, A^3/atom): 30.847 35.027 27.573 29.207 33.110 30.778 38.084 30.124